# PmPr4Sm3 (PBE, relaxed)
data_PmPr4Sm3
_cell_length_a 7.340
_cell_length_b 7.342
_cell_length_c 10.411
_cell_angle_alpha 90.00
_cell_angle_beta 90.00
_cell_angle_gamma 90.00
_space_group_name_H-M_alt 'P 1'
_space_group_IT_number 1
loop_
_space_group_symop_operation_xyz
'x,y,z'
loop_
_atom_site_label
_atom_site_fract_x
_atom_site_fract_y
_atom_site_fract_z
Pr1 0.000 0.811 0.000
Pr2 0.500 0.310 0.000
Pr3 0.750 0.061 0.750
Pr4 0.250 0.561 0.750
Pr5 0.500 0.810 0.500
Pr6 0.000 0.311 0.500
Pr7 0.250 0.561 0.250
Pr8 0.750 0.061 0.250
Sm1 0.000 0.310 0.000
Sm2 0.250 0.061 0.750
Sm3 0.750 0.561 0.750
Sm4 0.000 0.810 0.500
Sm5 0.750 0.561 0.250
Sm6 0.250 0.061 0.250
Pm1 0.500 0.811 0.000
Pm2 0.500 0.311 0.500
# space-group type	Pmna
# ΔE_f	11	kJ/mol of formula units
# calculated volume	35.1	A^3/atom
# final energy	-75.8	eV/cell



# CsNaCdSn (PBE, relaxed)
data_CsNaCdSn
_cell_length_a 5.714
_cell_length_b 5.714
_cell_length_c 5.714
_cell_angle_alpha 60.00
_cell_angle_beta 60.00
_cell_angle_gamma 60.00
_space_group_name_H-M_alt 'P 1'
_space_group_IT_number 1
loop_
_space_group_symop_operation_xyz
'x,y,z'
loop_
_atom_site_label
_atom_site_fract_x
_atom_site_fract_y
_atom_site_fract_z
Cs1 0.500 0.500 0.500
Na1 0.250 0.250 0.250
Sn1 0.000 0.000 0.000
Cd1 0.750 0.750 0.750
# space-group type	F-43m
# ΔE_f	-5	kJ/mol of formula units
# calculated volume	33.0	A^3/atom
# final energy	-7.1	eV/cell



# BaCdInPt3 (PBE, relaxed)
data_BaCdInPt3
_cell_length_a 6.143
_cell_length_b 7.251
_cell_length_c 7.683
_cell_angle_alpha 118.16
_cell_angle_beta 90.00
_cell_angle_gamma 90.00
_space_group_name_H-M_alt 'P 1'
_space_group_IT_number 1
loop_
_space_group_symop_operation_xyz
'x,y,z'
loop_
_atom_site_label
_atom_site_fract_x
_atom_site_fract_y
_atom_site_fract_z
Ba1 0.750 0.281 0.561
Ba2 0.250 0.719 0.439
Cd1 0.250 0.980 0.960
Cd2 0.750 0.020 0.040
In1 0.250 0.374 0.748
In2 0.750 0.626 0.252
Pt1 0.250 0.183 0.367
Pt2 0.000 0.305 0.000
Pt3 0.500 0.695 0.000
Pt4 0.500 0.305 0.000
Pt5 0.000 0.695 0.000
Pt6 0.750 0.817 0.633
# space-group type	Cmcm
# ΔE_f	-176	kJ/mol of formula units
# calculated volume	25.1	A^3/atom
# final energy	-51.0	eV/cell



# SrP2SCl (PBE, relaxed)
data_SrP2SCl
_cell_length_a 6.172
_cell_length_b 6.172
_cell_length_c 5.737
_cell_angle_alpha 90.00
_cell_angle_beta 90.00
_cell_angle_gamma 90.00
_space_group_name_H-M_alt 'P 1'
_space_group_IT_number 1
loop_
_space_group_symop_operation_xyz
'x,y,z'
loop_
_atom_site_label
_atom_site_fract_x
_atom_site_fract_y
_atom_site_fract_z
Sr1 0.000 0.000 0.000
S1 0.000 0.000 0.500
P1 0.000 0.500 0.000
P2 0.500 0.000 0.000
Cl1 0.500 0.500 0.500
# space-group type	P4/mmm
# calculated volume	43.7	A^3/atom
# uncorrected formation energy	1022	meV per atom
# final energy	-13.4	eV/cell



# LaTm3Cu (PBE, relaxed)
data_LaTm3Cu
_cell_length_a 5.338
_cell_length_b 5.338
_cell_length_c 5.338
_cell_angle_alpha 90.00
_cell_angle_beta 90.00
_cell_angle_gamma 90.00
_space_group_name_H-M_alt 'P 1'
_space_group_IT_number 1
loop_
_space_group_symop_operation_xyz
'x,y,z'
loop_
_atom_site_label
_atom_site_fract_x
_atom_site_fract_y
_atom_site_fract_z
Tm1 0.000 0.500 0.000
Tm2 0.000 0.000 0.500
Tm3 0.500 0.000 0.000
Cu1 0.000 0.000 0.000
La1 0.500 0.500 0.500
# space-group type	Pm-3m
# ΔE_f	18	kJ/mol of formula units
# calculated volume	30.4	A^3/atom
# final energy	-22.2	eV/cell



# MoSeBr2 (PBE, relaxed)
data_MoSeBr2
_cell_length_a 4.807
_cell_length_b 4.807
_cell_length_c 4.807
_cell_angle_alpha 60.00
_cell_angle_beta 60.00
_cell_angle_gamma 60.00
_space_group_name_H-M_alt 'P 1'
_space_group_IT_number 1
loop_
_space_group_symop_operation_xyz
'x,y,z'
loop_
_atom_site_label
_atom_site_fract_x
_atom_site_fract_y
_atom_site_fract_z
Mo1 0.500 0.500 0.500
Se1 0.000 0.000 0.000
Br1 0.250 0.250 0.250
Br2 0.750 0.750 0.750
# space-group type	Fm-3m
# calculated volume	19.6	A^3/atom
# uncorrected formation energy	891	meV per atom
# final energy	-14.1	eV/cell



# ScRe2Ni (PBE, relaxed)
data_ScRe2Ni
_cell_length_a 3.132
_cell_length_b 3.132
_cell_length_c 6.253
_cell_angle_alpha 90.00
_cell_angle_beta 90.00
_cell_angle_gamma 90.00
_space_group_name_H-M_alt 'P 1'
_space_group_IT_number 1
loop_
_space_group_symop_operation_xyz
'x,y,z'
loop_
_atom_site_label
_atom_site_fract_x
_atom_site_fract_y
_atom_site_fract_z
Ni1 0.500 0.500 0.759
Re1 0.000 0.000 0.001
Re2 0.500 0.500 0.223
Sc1 0.000 0.000 0.516
# space-group type	P4mm
# ΔE_f	-30	kJ/mol of formula units
# calculated volume	15.3	A^3/atom
# final energy	-37.3	eV/cell



# Pr3BiAs2Rh9 (PBE, relaxed)
data_Pr3BiAs2Rh9
_cell_length_a 6.274
_cell_length_b 6.274
_cell_length_c 9.630
_cell_angle_alpha 90.00
_cell_angle_beta 90.00
_cell_angle_gamma 120.00
_space_group_name_H-M_alt 'P 1'
_space_group_IT_number 1
loop_
_space_group_symop_operation_xyz
'x,y,z'
loop_
_atom_site_label
_atom_site_fract_x
_atom_site_fract_y
_atom_site_fract_z
Pr1 0.333 0.667 0.733
Pr2 0.000 0.000 0.000
Pr3 0.667 0.333 0.267
Bi1 0.000 0.000 0.500
As1 0.333 0.667 0.164
As2 0.667 0.333 0.836
Rh1 0.856 0.144 0.729
Rh2 0.856 0.712 0.729
Rh3 0.288 0.144 0.729
Rh4 0.712 0.856 0.271
Rh5 0.144 0.288 0.271
Rh6 0.144 0.856 0.271
Rh7 0.500 0.000 0.000
Rh8 0.000 0.500 0.000
Rh9 0.500 0.500 0.000
# space-group type	P-3m1
# ΔE_f	-560	kJ/mol of formula units
# calculated volume	21.9	A^3/atom
# final energy	-99.5	eV/cell